1.
The following is a DFT calculation (PBE-GGA) of a relaxed structure of ZrTl2Te6Pb3.

Properties
Space group = C2/m (12)

Geometry as POSCAR:
```
ZrTl2Te6Pb3
1.0
8.116 0.006 0.006
-4.051 7.033 0.006
-1.352 -2.340 7.297
Te Tl Pb Zr
6 2 3 1
Cartesian
2.408 0.017 1.732 Te
2.842 4.921 1.757 Te
0.305 4.681 5.579 Te
-1.189 2.094 1.732 Te
3.902 2.604 5.579 Te
-0.129 -0.223 5.554 Te
-0.041 4.717 0.006 Tl
4.106 2.321 0.006 Tl
1.357 2.349 3.655 Pb
-2.780 4.738 3.655 Pb
5.493 -0.040 3.655 Pb
0.000 0.000 0.000 Zr
```



2.
The following is a DFT calculation (PBE-GGA) of a relaxed structure of ZnIr2Os2.

Properties
Energy above the most stable polymorph in this dataset = 0 meV per atom
Energy of formation from the pure elements = 0.355 eV per atom
Space group = P4/mbm (127)

Geometry as POSCAR:
```
ZnIr2Os2
1.0
-6.970 2.060 -2.078
-1.306 -6.994 -2.554
-0.955 -0.728 2.482
Os Zn Ir
4 2 4
Cartesian
-3.765 -5.353 -3.018 Os
-6.921 -2.560 -3.413 Os
-1.355 -2.375 -1.218 Os
-4.511 0.418 -1.613 Os
0.000 0.000 0.000 Zn
-4.138 -2.467 -2.316 Zn
-2.548 -4.706 -0.829 Ir
-2.992 -0.885 0.121 Ir
-6.683 -0.956 -1.320 Ir
-6.238 -4.777 -2.270 Ir
```



Total energy
In order: -49.01; -79.36
Unit: eV for the cell shown